1.
The following is a PBE calculation of Cs2Tl6InGa after structural relaxation, from Alexandria.

Lattice parameters (Å, degrees): 7.8907 7.8907 14.8012 74.54 74.54 60.00
With the nearest neighbours (Å) after each atom.
Element x y z (fractional)
Cs: 0.7238 0.7238 0.8287  12 Tl 3.92-4.16
Tl: 0.6611 0.0903 0.5875  1 Ga 2.88
In: 0.4249 0.4249 0.7253  1 Ga 3.17, 6 Tl 3.24-3.31
Tl: 0.2217 0.2217 0.9179  1 Ga 2.90
Cs: 0.1040 0.1040 0.6880  12 Tl 4.19-4.35, 1 Ga 4.39, 3 In 4.59
Tl: 0.6611 0.6611 0.5875  1 Ga 2.88
In: 0.5751 0.5751 0.2747  1 Ga 3.17, 6 Tl 3.24-3.31
Tl: 0.3389 0.3389 0.4125  1 Ga 2.88
Cs: 0.8960 0.8960 0.3120  12 Tl 4.19-4.35, 1 Ga 4.39, 3 In 4.59
Tl: 0.3389 0.9097 0.4125  1 Ga 2.88
Cs: 0.2762 0.2762 0.1713  12 Tl 3.92-4.16
Tl: 0.7783 0.3612 0.0821  1 Ga 2.90
Tl: 0.9097 0.3389 0.4125  1 Ga 2.88
Ga: 0.5000 0.5000 0.5000  6 Tl 2.88, 2 In 3.17
Tl: 0.2217 0.6388 0.9179  1 Ga 2.90
Tl: 0.6388 0.2217 0.9179  1 Ga 2.90
Ga: 0.0000 0.0000 0.0000  6 Tl 2.90
Tl: 0.7783 0.7783 0.0821  1 Ga 2.90
Tl: 0.0903 0.6611 0.5875  1 Ga 2.88
Tl: 0.3612 0.7783 0.0821  1 Ga 2.90

DOS(E_F)   6.430 states/eV/f.u.
Electronic total energy   -21.9 eV per formula unit

=====

2.
The following is a PBE calculation of Ho2Pd9Au after structural relaxation, from Alexandria.

Lattice parameters (Å, degrees): 4.0639 4.0639 12.3235 90.00 90.00 90.00
With the nearest neighbours (Å) after each atom.
Element x y z (fractional)
Au: 0.0000 0.0000 0.0000  12 Pd 2.85-2.87
Ho: 0.0000 0.0000 0.3296  12 Pd 2.87-2.92
Pd: 0.0000 0.5000 0.8375  2 Au 2.85, 8 Pd 2.85-2.91, 2 Ho 2.89
Pd: 0.0000 0.5000 0.5000  8 Pd 2.87-2.90, 4 Ho 2.92
Pd: 0.5000 0.0000 0.1625  8 Pd 2.85-2.91, 2 Au 2.85, 2 Ho 2.89
Pd: 0.0000 0.5000 0.1625  2 Au 2.85, 8 Pd 2.85-2.91, 2 Ho 2.89
Pd: 0.5000 0.5000 0.0000  8 Pd 2.85, 4 Au 2.87
Ho: 0.0000 0.0000 0.6704  12 Pd 2.87-2.92
Pd: 0.5000 0.5000 0.3321  4 Ho 2.87, 8 Pd 2.90-2.91
Pd: 0.5000 0.0000 0.8375  8 Pd 2.85-2.91, 2 Au 2.85, 2 Ho 2.89
Pd: 0.5000 0.5000 0.6679  4 Ho 2.87, 8 Pd 2.90-2.91
Pd: 0.5000 0.0000 0.5000  8 Pd 2.87-2.90, 4 Ho 2.92

DOS(E_F)   12.291 states/eV/f.u.
Electronic total energy   -66.4 eV per formula unit